Material: Cs2K4Co2O5
Method: DFT, PBE+U
State: optimized geometry

Cell: 6.637 6.637 6.866 Å, 90.29 90.29 116.77°
Each line ends with the local moment (μB).
Fractional positions:
O: 0.141 0.434 0.269  0.16
O: 0.000 0.000 0.000  0.14
O: 0.434 0.141 0.269  0.16
O: 0.566 0.859 0.731  0.16
O: 0.859 0.566 0.731  0.16
K: 0.765 0.235 0.000  0.00
K: 0.781 0.219 0.500  0.00
K: 0.219 0.781 0.500  0.00
K: 0.235 0.765 0.000  0.00
Co: 0.795 0.795 0.803  2.54
Co: 0.205 0.205 0.197  2.54
Cs: 0.678 0.678 0.294  -0.01
Cs: 0.322 0.322 0.706  -0.01

## Properties
For the total energy, the calculation gives -4.350 eV per atom.